Entry 1:
VASP calculation (GGA-PBE) on an optimized crystal structure of Th2InSi4Pt3.

Results
crystal system	tetragonal
energy relative to the elements, uncorrected	-0.898	eV/atom

Cell and atoms, written as CIF:
```
data_Th2InSi4Pt3
_chemical_formula_sum 'Th2 In1 Si4 Pt3'
_space_group_name_H-M_alt 'P -4 m 2'
_space_group_IT_number 115
_space_group_name_Hall 'P -4 -2'
_cell_length_a 4.3173
_cell_length_b 4.3173
_cell_length_c 10.1264
_cell_angle_alpha 90.00
_cell_angle_beta 90.00
_cell_angle_gamma 90.00
loop_
_atom_site_label
_atom_site_type_symbol
_atom_site_fract_x
_atom_site_fract_y
_atom_site_fract_z
_atom_site_occupancy
Th1 Th 0.0000 0.5000 0.2387 1
In1 In 0.0000 0.0000 0.5000 1
Si1 Si 0.0000 0.0000 0.0000 1
Si2 Si 0.0000 0.5000 0.6482 1
Si3 Si 0.5000 0.5000 0.0000 1
Pt1 Pt 0.0000 0.5000 0.8857 1
Pt2 Pt 0.5000 0.5000 0.5000 1
```


Entry 2:
VASP calculation (GGA-PBE) on an optimized crystal structure of Dy3Er6Th.

Results
crystal system	orthorhombic
excess energy over the best structure of this formula in the dataset	0	meV per atom
formation energy	0.150	eV/atom

Cell and atoms, written as CIF:
```
data_Dy3Er6Th
_chemical_formula_sum 'Dy12 Er24 Th4'
_space_group_name_H-M_alt 'C m c 21'
_space_group_IT_number 36
_space_group_name_Hall 'C 2c -2'
_cell_length_a 9.3608
_cell_length_b 15.1175
_cell_length_c 8.9332
_cell_angle_alpha 90.00
_cell_angle_beta 90.00
_cell_angle_gamma 90.00
loop_
_atom_site_label
_atom_site_type_symbol
_atom_site_fract_x
_atom_site_fract_y
_atom_site_fract_z
_atom_site_occupancy
Dy1 Dy 0.0000 0.0513 0.0000 1
Dy2 Dy 0.1749 0.3541 0.4882 1
Er1 Er 0.0000 0.2170 0.2567 1
Er2 Er 0.0000 0.4462 0.1282 1
Er3 Er 0.1789 0.1479 0.6462 1
Er4 Er 0.2444 0.4400 0.8162 1
Th1 Th 0.0000 0.2763 0.8929 1
```


Entry 3:
VASP calculation (GGA-PBE) on an optimized crystal structure of Ac5Cd2Ru2.

Results
crystal system	monoclinic
excess energy over the best structure of this formula in the dataset	12	meV per atom
formation energy	-0.181	eV/atom

Cell and atoms, written as CIF:
```
data_Ac5Cd2Ru2
_chemical_formula_sum 'Ac10 Cd4 Ru4'
_space_group_name_H-M_alt 'C 1 2/m 1'
_space_group_IT_number 12
_space_group_name_Hall '-C 2y'
_cell_length_a 17.8170
_cell_length_b 5.8156
_cell_length_c 5.9462
_cell_angle_alpha 90.00
_cell_angle_beta 98.45
_cell_angle_gamma 90.00
loop_
_atom_site_label
_atom_site_type_symbol
_atom_site_fract_x
_atom_site_fract_y
_atom_site_fract_z
_atom_site_occupancy
Ac1 Ac 0.0000 0.0000 0.0000 1
Ac2 Ac 0.1645 0.0000 0.5056 1
Ac3 Ac 0.1643 0.5000 0.9557 1
Cd1 Cd 0.0578 0.5000 0.3693 1
Ru1 Ru 0.1576 0.0000 0.0166 1
```


Entry 4:
VASP calculation (GGA-PBE) on an optimized crystal structure of Nb2CuS.

Results
crystal system	trigonal
energy relative to the elements, uncorrected	0.266	eV/atom

Cell and atoms, written as CIF:
```
data_Nb2CuS
_chemical_formula_sum 'Nb6 Cu3 S3'
_space_group_name_H-M_alt 'R -3 m'
_space_group_IT_number 166
_space_group_name_Hall '-R 3 2"'
_cell_length_a 2.9421
_cell_length_b 2.9421
_cell_length_c 27.5248
_cell_angle_alpha 90.00
_cell_angle_beta 90.00
_cell_angle_gamma 120.00
loop_
_atom_site_label
_atom_site_type_symbol
_atom_site_fract_x
_atom_site_fract_y
_atom_site_fract_z
_atom_site_occupancy
Nb1 Nb 0.0000 0.0000 0.0968 1
Cu1 Cu 0.0000 0.0000 0.0000 1
S1 S 0.0000 0.0000 0.5000 1
```


no.,magnetization (μB/atom),VASP energy (eV per atom)
1,0.00,-6.64
2,0.00,-4.71
3,0.00,-4.73
4,0.00,-6.82